Computed, not measured: a geometry-optimized KBAsBr2 structure at the PBE level of DFT.

Computed properties:
raw total energy: -15.61 eV per cell
total magnetization: 0.00 μB/f.u.
energy relative to the elements, uncorrected: 0.0323 eV/atom
density: 3.81 Mg/m³
E above lowest polymorph: 0 meV per atom

Unit cell a=5.505 b=5.505 c=4.095 alpha=90.00 beta=90.00 gamma=90.00
Space group P4/mmm (No. 123)
Symmetry-distinct sites (fractional):
K1 0.000 0.000 0.000 (multiplicity 1)
B1 0.500 0.500 0.500 (multiplicity 1)
As1 0.500 0.500 0.000 (multiplicity 1)
Br1 0.000 0.500 0.500 (multiplicity 2)